TmZrIr: optimized geometry, PBE.

The value obtained for the theoretical density is 11.44 Mg/m³. Its total energy is -8.0235 eV/atom. Its formation energy is -0.730 eV per atom. The size of the total moment comes out at 0.00 μB per cell. Its energy relative to the lowest polymorph listed for this composition is 0 meV/atom.

Cell and atoms, written as CIF:
```
data_TmZrIr
_space_group_name_H-M_alt 'P -6 2 m'
_space_group_IT_number 189
_space_group_name_Hall 'P -6 -2'
_cell_length_a 7.0579
_cell_length_b 7.0579
_cell_length_c 4.5648
_cell_angle_alpha 90.00
_cell_angle_beta 90.00
_cell_angle_gamma 120.00
loop_
_atom_site_label
_atom_site_type_symbol
_atom_site_fract_x
_atom_site_fract_y
_atom_site_fract_z
Tm1 Tm 0.0000 0.5841 0.0000
Zr1 Zr 0.0000 0.2556 0.5000
Ir1 Ir 0.0000 0.0000 0.0000
Ir2 Ir 0.3333 0.6667 0.5000
```